Below is an optimized crystal structure of GdRh3, with properties calculated at the GGA-PBE level.

```
GdRh3
1.0
-2.051 2.051 4.024
2.051 -2.051 4.024
2.051 2.051 -4.024
Gd Rh
1 3
direct
0.000 0.000 0.000 Gd
0.250 0.750 0.500 Rh
0.500 0.500 0.000 Rh
0.750 0.250 0.500 Rh
```

Properties
D(E_F) = 1.219 states/eV/atom
E_tot = -9.3967 eV per atom

Below is an optimized crystal structure of Gd2RuRh, with properties calculated at the GGA-PBE level.

```
Gd2RuRh
1.0
3.447 0.000 0.000
0.000 3.447 0.000
0.000 0.000 6.876
Gd Ru Rh
2 1 1
direct
0.000 0.000 0.246 Gd
0.000 0.000 0.754 Gd
0.500 0.500 0.000 Ru
0.500 0.500 0.500 Rh
```

Properties
D(E_F) = 0.366 states/eV/atom
E_tot = -11.7471 eV per atom